# La4Ni2Cl3

A relaxed La4Ni2Cl3 crystal (PBE, the Alexandria database).

## Properties
E_form (uncorrected)	-1027	meV per atom
size of the total moment	0.00	μB per formula unit
volume	250	Å³/f.u.
mass density	5.17	g cm⁻³

Lattice parameters (Å, degrees): 5.6287 5.6287 13.0051 107.90 107.90 40.03
With the nearest neighbours (Å) after each atom.
Element x y z (fractional)
La: 0.0084 0.0084 0.1807  1 Ni 2.48
La: 0.1824 0.1824 0.6012  3 Ni 2.70-2.93
La: 0.8176 0.8176 0.3988  3 Ni 2.70-2.93
La: 0.9916 0.9916 0.8193  1 Ni 2.48
Ni: 0.1034 0.1034 0.3817  2 La 2.48-2.70
Ni: 0.8966 0.8966 0.6183  2 La 2.48-2.70
Cl: 0.2889 0.2889 0.1793  3 La 2.97-3.01
Cl: 0.5000 0.5000 0.0000  4 La 3.02
Cl: 0.7111 0.7111 0.8207  3 La 2.97-3.01

***

# LaNiCl3

A relaxed LaNiCl3 crystal (PBE, the Alexandria database).

## Properties
E_form (uncorrected)	-932	meV per atom
size of the total moment	2.00	μB per formula unit
relative energy among the computed polymorphs	0.124	eV/atom
volume	169	Å³/f.u.
mass density	2.98	g cm⁻³

Lattice parameters (Å, degrees): 5.5300 5.5300 5.5300 90.00 90.00 90.00
With the nearest neighbours (Å) after each atom.
Element x y z (fractional)
La: 0.0000 0.0000 0.0000  6 Cl 2.77
Ni: 0.5000 0.5000 0.5000  12 Cl 3.91
Cl: 0.0000 0.0000 0.5000  2 La 2.77
Cl: 0.0000 0.5000 0.0000  2 La 2.77
Cl: 0.5000 0.0000 0.0000  2 La 2.77

***

# LaNi2Cl

A relaxed LaNi2Cl crystal (PBE, the Alexandria database).

## Properties
E_form (uncorrected)	-410	meV per atom
size of the total moment	0.00	μB per formula unit
relative energy among the computed polymorphs	0.179	eV/atom
volume	76	Å³/f.u.
mass density	6.37	g cm⁻³

Lattice parameters (Å, degrees): 3.7297 4.1552 4.9110 90.00 90.10 90.00
With the nearest neighbours (Å) after each atom.
Element x y z (fractional)
La: 0.0000 0.0000 0.0000  8 Ni 3.03, 4 Cl 3.08-3.09
Ni: 0.4988 0.5000 0.7595  2 Ni 2.36-2.55, 2 Cl 2.44
Ni: 0.5012 0.5000 0.2405  2 Ni 2.36-2.55, 2 Cl 2.44
Cl: 0.5000 0.0000 0.5000  4 Ni 2.44

***

# LaNi2Cl

A relaxed LaNi2Cl crystal (PBE, the Alexandria database).

## Properties
E_form (uncorrected)	-198	meV per atom
size of the total moment	0.26	μB per formula unit
relative energy among the computed polymorphs	0.392	eV/atom
volume	75	Å³/f.u.
mass density	6.49	g cm⁻³

Lattice parameters (Å, degrees): 4.7260 4.7260 4.7260 60.00 60.00 60.00
With the nearest neighbours (Å) after each atom.
Element x y z (fractional)
La: 0.0000 0.0000 0.0000  4 Ni 2.89, 4 Cl 2.89
Ni: 0.5000 0.5000 0.5000  4 Cl 2.89, 4 Ni 2.89
Ni: 0.7500 0.7500 0.7500  4 Ni 2.89, 4 La 2.89
Cl: 0.2500 0.2500 0.2500  4 Ni 2.89, 4 La 2.89

***

# LaNi2Cl

A relaxed LaNi2Cl crystal (PBE, the Alexandria database).

## Properties
E_form (uncorrected)	-363	meV per atom
size of the total moment	0.00	μB per formula unit
relative energy among the computed polymorphs	0.226	eV/atom
volume	88	Å³/f.u.
mass density	5.51	g cm⁻³

Lattice parameters (Å, degrees): 5.2559 5.2559 4.9382 101.00 101.00 41.15
With the nearest neighbours (Å) after each atom.
Element x y z (fractional)
La: 0.0000 0.0000 0.0000  6 Ni 2.83-2.94, 4 Cl 3.08
Ni: 0.3052 0.3052 0.1308  1 Cl 2.36, 2 Ni 2.38
Ni: 0.6948 0.6948 0.8692  1 Cl 2.36, 2 Ni 2.38
Cl: 0.5000 0.5000 0.5000  2 Ni 2.36

***

# La3NiCl

A relaxed La3NiCl crystal (PBE, the Alexandria database).

## Properties
E_form (uncorrected)	-652	meV per atom
size of the total moment	0.00	μB per formula unit
relative energy among the computed polymorphs	0.000	eV/atom
volume	148	Å³/f.u.
mass density	5.74	g cm⁻³

Lattice parameters (Å, degrees): 6.6815 6.6815 11.5778 90.00 90.00 145.11
With the nearest neighbours (Å) after each atom.
Element x y z (fractional)
La: 0.0754 0.9246 0.7500  2 Ni 3.05, 2 Cl 3.12
La: 0.3669 0.6331 0.5716  2 Ni 2.75
La: 0.3669 0.6331 0.9284  2 Ni 2.75
La: 0.6331 0.3669 0.0716  2 Ni 2.75
La: 0.6331 0.3669 0.4284  2 Ni 2.75
La: 0.9246 0.0754 0.2500  2 Ni 3.05, 2 Cl 3.12
Ni: 0.0000 0.0000 0.0000  6 La 2.75-3.05
Ni: 0.0000 0.0000 0.5000  6 La 2.75-3.05
Cl: 0.2374 0.7626 0.2500  6 La 3.12-3.17
Cl: 0.7626 0.2374 0.7500  6 La 3.12-3.17